No. 1
Here is Mn4Ir at its PBEsol-relaxed geometry from Alexandria. Energies are from SCAN.

Lattice parameters (Å, degrees): 4.3490 4.3490 4.3490 99.51 99.51 132.03
Last column: nearest neighbours and their distance in Å.
Positions (direct):
Mn1 0.0968 0.3077 0.4044  9 Mn 2.42-2.56, 3 Ir 2.51-2.53
Mn2 0.3077 0.9032 0.2109  9 Mn 2.42-2.56, 3 Ir 2.51-2.53
Mn3 0.6923 0.0968 0.7891  9 Mn 2.42-2.56, 3 Ir 2.51-2.53
Mn4 0.9032 0.6923 0.5956  9 Mn 2.42-2.56, 3 Ir 2.51-2.53
Ir1 0.5000 0.5000 0.0000  12 Mn 2.51-2.53

Values from the calculation:
Energy of formation from the pure elements ... 0.0 eV per formula unit
SG ... I4/m
Uncorrected energy ... -144.1 eV for the cell shown

No. 2
Here is ScSe3 at its PBEsol-relaxed geometry from Alexandria. Energies are from SCAN.

Lattice parameters (Å, degrees): 6.6250 6.6250 6.6250 147.06 147.06 47.27
Last column: nearest neighbours and their distance in Å.
Positions (direct):
Sc1 0.0000 0.0000 0.0000  4 Se 2.66
Se1 0.2500 0.7500 0.5000  4 Se 2.66
Se2 0.5000 0.5000 0.0000  4 Sc 2.66
Se3 0.7500 0.2500 0.5000  4 Se 2.66

Values from the calculation:
Uncorrected formation energy ... -0.752 eV/atom
SG ... I4/mmm
Uncorrected energy ... -77.5 eV for the cell shown